1.
# Tb4PmSm3

A relaxed Tb4PmSm3 crystal (PBE, Alexandria via LeMat-Bulk).

Its energy relative to the elements is 16 meV per atom. The value obtained for the energy above the most stable polymorph in this dataset is 0 meV/atom. The calculation puts the raw total energy at -0.1714 Ha/atom.

Cell: 10.1632 7.2019 7.1985 Å, 90.00 90.00 90.00°
Space group Pmna (No. 53)
Symmetry-distinct sites (fractional):
Tb 0.0000 0.0000 0.0000 x2
Tb 0.0000 0.5000 0.5000 x2
Tb 0.2500 0.2502 0.2500 x4
Pm 0.0000 0.0000 0.5000 x2
Sm 0.0000 0.5000 0.0000 x2
Sm 0.2500 0.2503 0.7500 x4



2.
# Tb2PmSm2

A relaxed Tb2PmSm2 crystal (PBE, Alexandria via LeMat-Bulk).

Its energy relative to the elements is 126 meV per atom. The value obtained for the energy above the most stable polymorph in this dataset is 0 meV/atom. The calculation puts the raw total energy at -0.1677 Ha/atom.

Cell: 9.6317 8.1276 9.3639 Å, 90.00 114.60 90.00°
Space group C2/c (No. 15)
Symmetry-distinct sites (fractional):
Tb 0.1645 0.0588 0.4736 x8
Pm 0.0000 0.2860 0.7500 x4
Sm 0.1145 0.3323 0.1493 x8



3.
# Tb2Pm5Sm2

A relaxed Tb2Pm5Sm2 crystal (PBE, Alexandria via LeMat-Bulk).

Its energy relative to the elements is 206 meV per atom. The value obtained for the energy above the most stable polymorph in this dataset is 193 meV/atom. The calculation puts the raw total energy at -0.1658 Ha/atom.

Cell: 14.9968 11.9465 6.8445 Å, 90.00 90.00 90.00°
Space group Ima2 (No. 46)
Symmetry-distinct sites (fractional):
Tb 0.1267 0.0040 0.0000 x8
Pm 0.0518 0.7462 0.6532 x8
Pm 0.1435 0.2331 0.3279 x8
Pm 0.2500 0.7397 0.3476 x4
Sm 0.0000 0.0000 0.4788 x4
Sm 0.2500 0.0057 0.5403 x4



4.
# Tb4Pm3Sm5

A relaxed Tb4Pm3Sm5 crystal (PBE, Alexandria via LeMat-Bulk).

Its energy relative to the elements is 13 meV per atom. The value obtained for the energy above the most stable polymorph in this dataset is 0 meV/atom. The calculation puts the raw total energy at -0.1722 Ha/atom.

Cell: 6.2556 7.2187 8.8441 Å, 90.04 90.09 90.09°
Space group P-1 (No. 2)
Symmetry-distinct sites (fractional):
Tb 0.1663 0.9997 0.1656 x2
Tb 0.3329 0.2487 0.8342 x2
Pm 0.3337 0.7513 0.8345 x2
Pm 0.5000 0.5000 0.5000 x1
Sm 0.0009 0.2487 0.5002 x2
Sm 0.1666 0.4997 0.1659 x2
Sm 0.5000 0.0000 0.5000 x1



5.
# Tb3Pm2Sm6

A relaxed Tb3Pm2Sm6 crystal (PBE, Alexandria via LeMat-Bulk).

Its energy relative to the elements is 274 meV per atom. The value obtained for the energy above the most stable polymorph in this dataset is 261 meV/atom. The calculation puts the raw total energy at -0.1627 Ha/atom.

Cell: 4.7907 4.7907 33.7432 Å, 90.00 90.00 90.00°
Space group I4/mmm (No. 139)
Symmetry-distinct sites (fractional):
Tb 0.0000 0.0000 0.0000 x2
Tb 0.0000 0.0000 0.1998 x4
Pm 0.0000 0.0000 0.4545 x4
Sm 0.0000 0.0000 0.3017 x4
Sm 0.0000 0.5000 0.1213 x8



6.
# Tb6Pm2Sm5

A relaxed Tb6Pm2Sm5 crystal (PBE, Alexandria via LeMat-Bulk).

Its energy relative to the elements is 94 meV per atom. The calculation puts the raw total energy at -0.1686 Ha/atom.

Cell: 11.7610 20.5256 3.6129 Å, 90.00 90.00 90.00°
Space group Pbam (No. 55)
Symmetry-distinct sites (fractional):
Tb 0.0601 0.0786 0.0000 x4
Tb 0.0786 0.3669 0.0000 x4
Tb 0.1782 0.6319 0.5000 x4
Pm 0.1717 0.7859 0.0000 x4
Sm 0.0000 0.5000 0.5000 x2
Sm 0.0866 0.2237 0.5000 x4
Sm 0.1997 0.9485 0.5000 x4